An optimized crystal structure of CdCuTcSn. Source: OQMD, functional PBE.

Values from the calculation:
Energy relative to the lowest polymorph listed for this composition = 0 meV/atom
Space-group type = F-43m (216)
Electronic total energy = -0.16290 Ha/atom
Total magnetization = 0.00 μB/f.u.

Geometry as POSCAR:
```
CdCuTcSn
1.0
-0.680 -0.970 4.424
-3.056 -3.194 1.201
1.423 -4.003 1.712
Tc Cd Sn Cu
1 1 1 1
direct
0.250 0.250 0.250 Tc
0.500 0.500 0.500 Cd
0.000 0.000 0.000 Sn
0.750 0.750 0.750 Cu
```



An optimized crystal structure of RbCuGeTeS2. Source: OQMD, functional PBE.

Values from the calculation:
Space-group type = Cmcm (63)
Electronic total energy = -0.14039 Ha/atom

Geometry as POSCAR:
```
RbCuGeTeS2
1.0
1.807 -8.109 0.000
1.807 8.109 0.000
0.000 0.000 10.827
S Rb Cu Ge Te
4 2 2 2 2
direct
0.104 0.896 0.944 S
0.896 0.104 0.444 S
0.104 0.896 0.556 S
0.896 0.104 0.056 S
0.737 0.263 0.750 Rb
0.263 0.737 0.250 Rb
0.056 0.944 0.750 Cu
0.944 0.056 0.250 Cu
0.500 0.500 0.500 Ge
0.500 0.500 0.000 Ge
0.434 0.566 0.750 Te
0.566 0.434 0.250 Te
```



An optimized crystal structure of GdErCu2Pb. Source: OQMD, functional PBE.

Values from the calculation:
Space-group type = Amm2 (38)
Electronic total energy = -0.16335 Ha/atom
Total magnetization = 0.01 μB/f.u.

Geometry as POSCAR:
```
GdErCu2Pb
1.0
-1.104 1.525 3.148
4.865 -4.049 3.667
6.819 -0.452 2.609
Cu Er Gd Pb
2 1 1 1
direct
0.500 0.202 0.202 Cu
0.500 0.795 0.795 Cu
0.000 0.636 0.636 Er
0.000 0.366 0.366 Gd
0.500 0.001 0.001 Pb
```



An optimized crystal structure of GdTc. Source: OQMD, functional PBE.

Values from the calculation:
E_form = 0.535 eV/atom
Space-group type = P-6m2 (187)
Electronic total energy = -0.25624 Ha/atom
Total magnetization = 0.04 μB/f.u.

Geometry as POSCAR:
```
GdTc
1.0
3.390 0.000 0.000
-1.695 2.936 0.000
0.000 0.000 4.279
Tc Gd
1 1
direct
0.333 0.667 0.250 Tc
0.667 0.333 0.750 Gd
```



An optimized crystal structure of LuTlCuIr. Source: OQMD, functional PBE.

Values from the calculation:
Energy relative to the lowest polymorph listed for this composition = 0 meV/atom
Space-group type = F-43m (216)
Electronic total energy = -0.18644 Ha/atom
Total magnetization = 0.00 μB/f.u.

Geometry as POSCAR:
```
LuTlCuIr
1.0
-4.223 0.842 1.913
-1.235 4.402 1.139
-3.313 2.238 -2.494
Cu Ir Tl Lu
1 1 1 1
direct
0.750 0.750 0.750 Cu
0.250 0.250 0.250 Ir
0.000 0.000 0.000 Tl
0.500 0.500 0.500 Lu
```



An optimized crystal structure of K4Cd3Br. Source: OQMD, functional PBE.

Values from the calculation:
Space-group type = I-42m (121)
Electronic total energy = -0.04561 Ha/atom

Geometry as POSCAR:
```
K4Cd3Br
1.0
-1.107 -5.916 7.239
5.823 2.578 6.934
-6.257 4.925 -5.022
K Cd Br
4 3 1
direct
0.887 0.344 0.000 K
0.113 0.113 0.457 K
0.656 0.656 0.543 K
0.344 0.887 0.000 K
0.750 0.250 0.500 Cd
0.250 0.750 0.500 Cd
0.500 0.500 0.000 Cd
0.000 0.000 0.000 Br
```



An optimized crystal structure of TmO. Source: OQMD, functional PBE.

Values from the calculation:
Space-group type = P-6m2 (187)
Electronic total energy = -0.26661 Ha/atom
Total magnetization = 0.61 μB/f.u.

Geometry as POSCAR:
```
TmO
1.0
-3.034 -0.640 -0.665
2.004 -2.359 0.691
-0.713 0.270 2.992
Tm O
1 1
direct
0.333 0.667 0.250 Tm
0.667 0.333 0.750 O
```



An optimized crystal structure of TaPPtO. Source: OQMD, functional PBE.

Values from the calculation:
Energy relative to the lowest polymorph listed for this composition = 0 meV/atom
Space-group type = Pmc2_1 (26)
Electronic total energy = -0.29362 Ha/atom
Total magnetization = 0.00 μB/f.u.

Geometry as POSCAR:
```
TaPPtO
1.0
3.603 0.000 0.000
0.000 6.087 0.000
0.000 0.000 6.073
Ta P Pt O
2 2 2 2
direct
0.500 0.643 0.430 Ta
0.500 0.357 0.930 Ta
0.500 0.747 0.829 P
0.500 0.253 0.329 P
0.000 0.720 0.071 Pt
0.000 0.280 0.571 Pt
0.000 0.780 0.424 O
0.000 0.220 0.924 O
```



An optimized crystal structure of CuSn2Ir. Source: OQMD, functional PBE.

Values from the calculation:
Energy relative to the lowest polymorph listed for this composition = 525 meV/atom
Space-group type = F-43m (216)
Electronic total energy = -0.17542 Ha/atom
Total magnetization = 0.00 μB/f.u.

Geometry as POSCAR:
```
CuSn2Ir
1.0
-0.719 0.172 4.670
-4.404 -0.080 1.718
-1.574 -3.824 2.292
Sn Cu Ir
2 1 1
direct
0.750 0.750 0.750 Sn
0.000 0.000 0.000 Sn
0.250 0.250 0.250 Cu
0.500 0.500 0.500 Ir
```



An optimized crystal structure of TbZnPbS3. Source: OQMD, functional PBE.

Values from the calculation:
Space-group type = Cmcm (63)
Electronic total energy = -0.17130 Ha/atom
Total magnetization = 0.01 μB/f.u.

Geometry as POSCAR:
```
TbZnPbS3
1.0
2.015 -6.636 0.000
2.015 6.636 0.000
0.000 0.000 10.355
Pb S Zn Tb
2 6 2 2
direct
0.271 0.729 0.750 Pb
0.729 0.271 0.250 Pb
0.135 0.865 0.441 S
0.579 0.421 0.750 S
0.421 0.579 0.250 S
0.135 0.865 0.059 S
0.865 0.135 0.941 S
0.865 0.135 0.559 S
0.031 0.969 0.250 Zn
0.969 0.031 0.750 Zn
0.500 0.500 0.000 Tb
0.500 0.500 0.500 Tb
```



An optimized crystal structure of Fe2CoNi5. Source: OQMD, functional PBE.

Values from the calculation:
E_form = -0.078 eV/atom
Space-group type = Pbam (55)
Electronic total energy = -0.23971 Ha/atom
Total magnetization = 10.26 μB/f.u.

Geometry as POSCAR:
```
Fe2CoNi5
1.0
4.991 0.000 0.000
0.000 9.986 0.000
0.000 0.000 3.511
Ni Co Fe
10 2 4
direct
0.500 0.500 0.000 Ni
0.746 0.625 0.500 Ni
0.246 0.875 0.500 Ni
0.000 0.000 0.000 Ni
0.754 0.125 0.500 Ni
0.005 0.251 0.000 Ni
0.505 0.249 0.000 Ni
0.254 0.375 0.500 Ni
0.995 0.749 0.000 Ni
0.495 0.751 0.000 Ni
0.500 0.000 0.000 Co
0.000 0.500 0.000 Co
0.745 0.876 0.500 Fe
0.755 0.376 0.500 Fe
0.245 0.624 0.500 Fe
0.255 0.124 0.500 Fe
```



An optimized crystal structure of Ho2Al3Co14. Source: OQMD, functional PBE.

Values from the calculation:
Space-group type = P6_3/mmc (194)
Electronic total energy = -0.23604 Ha/atom
Total magnetization = 0.13 μB/f.u.

Geometry as POSCAR:
```
Ho2Al3Co14
1.0
8.318 0.000 0.000
-4.159 7.202 0.000
0.000 0.000 8.120
Ho Co Al
4 28 6
direct
0.333 0.667 0.750 Ho
0.667 0.333 0.250 Ho
0.000 0.000 0.750 Ho
0.000 0.000 0.250 Ho
0.325 0.163 0.484 Co
0.333 0.667 0.109 Co
0.675 0.837 0.516 Co
0.163 0.325 0.984 Co
0.163 0.837 0.516 Co
0.667 0.333 0.609 Co
0.333 0.667 0.391 Co
0.956 0.326 0.750 Co
0.630 0.674 0.250 Co
0.325 0.163 0.016 Co
0.629 0.956 0.250 Co
0.675 0.837 0.984 Co
0.837 0.675 0.484 Co
0.837 0.163 0.016 Co
0.837 0.163 0.484 Co
0.044 0.371 0.250 Co
0.667 0.333 0.891 Co
0.044 0.674 0.250 Co
0.163 0.837 0.984 Co
0.956 0.629 0.750 Co
0.163 0.325 0.516 Co
0.370 0.326 0.750 Co
0.371 0.044 0.750 Co
0.674 0.044 0.750 Co
0.674 0.629 0.750 Co
0.326 0.371 0.250 Co
0.837 0.675 0.016 Co
0.326 0.956 0.250 Co
0.000 0.500 0.500 Al
0.500 0.000 0.000 Al
0.500 0.000 0.500 Al
0.500 0.500 0.000 Al
0.500 0.500 0.500 Al
0.000 0.500 0.000 Al
```



An optimized crystal structure of GaCu2Sn. Source: OQMD, functional PBE.

Values from the calculation:
Space-group type = Pm-3m (221)
Electronic total energy = -0.12861 Ha/atom

Geometry as POSCAR:
```
GaCu2Sn
1.0
-0.436 -6.422 -0.023
1.103 -0.098 6.340
-6.326 0.426 1.107
Cu Ga Sn
8 4 4
direct
0.725 0.275 0.725 Cu
0.275 0.275 0.275 Cu
0.725 0.275 0.275 Cu
0.725 0.725 0.275 Cu
0.725 0.725 0.725 Cu
0.275 0.275 0.725 Cu
0.275 0.725 0.275 Cu
0.275 0.725 0.725 Cu
0.500 0.500 0.000 Ga
0.000 0.500 0.500 Ga
0.500 0.500 0.500 Ga
0.500 0.000 0.500 Ga
0.000 0.000 0.000 Sn
0.000 0.500 0.000 Sn
0.000 0.000 0.500 Sn
0.500 0.000 0.000 Sn
```



An optimized crystal structure of ZrHgW2. Source: OQMD, functional PBE.

Values from the calculation:
E_form = 0.407 eV/atom
Space-group type = F-43m (216)
Electronic total energy = -0.30443 Ha/atom
Total magnetization = 0.00 μB/f.u.

Geometry as POSCAR:
```
ZrHgW2
1.0
-3.766 0.297 2.799
-1.652 4.212 1.280
-4.094 1.542 -1.723
W Hg Zr
2 1 1
direct
0.000 0.000 0.000 W
0.250 0.250 0.250 W
0.500 0.500 0.500 Hg
0.750 0.750 0.750 Zr
```



An optimized crystal structure of AcHoNb. Source: OQMD, functional PBE.

Values from the calculation:
Energy relative to the lowest polymorph listed for this composition = 586 meV/atom
E_form = 1.387 eV/atom
Space-group type = F-43m (216)
Electronic total energy = -0.17904 Ha/atom
Total magnetization = 1.39 μB/f.u.

Geometry as POSCAR:
```
AcHoNb
1.0
4.942 0.268 1.695
1.226 3.138 4.002
1.290 -2.055 4.635
Nb Ho Ac
1 1 1
direct
0.750 0.750 0.750 Nb
0.250 0.250 0.250 Ho
0.000 0.000 0.000 Ac
```



An optimized crystal structure of CsOsSO. Source: OQMD, functional PBE.

Values from the calculation:
Energy relative to the lowest polymorph listed for this composition = 26 meV/atom
Space-group type = P2_1 (4)
Electronic total energy = -0.21883 Ha/atom
Total magnetization = 0.00 μB/f.u.

Geometry as POSCAR:
```
CsOsSO
1.0
-1.144 -4.685 3.078
4.967 -3.900 -4.090
7.383 1.007 4.284
Cs Os S O
4 4 4 4
direct
0.362 0.163 0.335 Cs
0.862 0.837 0.665 Cs
0.861 0.338 0.665 Cs
0.361 0.662 0.335 Cs
0.113 0.001 0.998 Os
0.112 0.500 0.998 Os
0.613 0.000 0.002 Os
0.612 0.499 0.002 Os
0.365 0.061 0.772 S
0.865 0.939 0.228 S
0.364 0.561 0.772 S
0.864 0.439 0.228 S
0.612 0.750 0.002 O
0.612 0.250 0.002 O
0.112 0.250 0.998 O
0.112 0.750 0.998 O
```



An optimized crystal structure of BaSmCdAs2. Source: OQMD, functional PBE.

Values from the calculation:
Space-group type = Cmc2_1 (36)
Electronic total energy = -0.15790 Ha/atom
Total magnetization = 0.03 μB/f.u.

Geometry as POSCAR:
```
BaSmCdAs2
1.0
2.208 -9.131 0.000
2.208 9.131 0.000
0.000 0.000 7.168
As Ba Sm Cd
4 2 2 2
direct
0.951 0.049 0.547 As
0.669 0.331 0.571 As
0.331 0.669 0.071 As
0.049 0.951 0.047 As
0.304 0.696 0.567 Ba
0.696 0.304 0.067 Ba
0.527 0.473 0.756 Sm
0.473 0.527 0.256 Sm
0.104 0.896 0.425 Cd
0.896 0.104 0.925 Cd
```



An optimized crystal structure of GaCu2. Source: OQMD, functional PBE.

Values from the calculation:
Space-group type = Imma (74)
Electronic total energy = -0.12754 Ha/atom

Geometry as POSCAR:
```
GaCu2
1.0
-2.097 2.570 3.648
2.097 -2.570 3.648
2.097 2.570 -3.648
Cu Ga
4 2
direct
0.667 0.166 0.501 Cu
0.333 0.834 0.499 Cu
0.835 0.834 0.001 Cu
0.165 0.166 0.999 Cu
0.745 0.495 0.250 Ga
0.255 0.505 0.750 Ga
```



An optimized crystal structure of HfHPd. Source: OQMD, functional PBE.

Values from the calculation:
Space-group type = P4/nmm (129)
Electronic total energy = -0.25079 Ha/atom
Total magnetization = 0.00 μB/f.u.

Geometry as POSCAR:
```
HfHPd
1.0
-1.991 2.663 0.989
-2.090 -2.192 1.692
3.521 0.687 5.239
Hf H Pd
2 2 2
direct
0.250 0.250 0.824 Hf
0.750 0.750 0.176 Hf
0.250 0.750 0.000 H
0.750 0.250 0.000 H
0.750 0.750 0.620 Pd
0.250 0.250 0.380 Pd
```



An optimized crystal structure of NdYPt2. Source: OQMD, functional PBE.

Values from the calculation:
Energy relative to the lowest polymorph listed for this composition = 6 meV/atom
E_form = -1.197 eV/atom
Space-group type = Pmc2_1 (26)
Electronic total energy = -0.25842 Ha/atom
Total magnetization = 0.00 μB/f.u.

Geometry as POSCAR:
```
NdYPt2
1.0
-1.599 -2.182 3.685
2.719 -4.695 -1.600
5.790 2.079 3.742
Nd Pt Y
2 4 2
direct
0.000 0.889 0.682 Nd
0.000 0.111 0.182 Nd
0.500 0.100 0.457 Pt
0.500 0.900 0.957 Pt
0.000 0.594 0.045 Pt
0.000 0.406 0.545 Pt
0.500 0.609 0.317 Y
0.500 0.391 0.817 Y
```